Here is a geometry-optimized BaHfAu3 structure from Alexandria via LeMat-Bulk. Energies are from GGA-PBE.

Unit cell a=5.3186 b=5.3186 c=5.3186 alpha=90.00 beta=90.00 gamma=90.00
Closest atoms and distances in Å follow each position.
Positions (direct):
Au (0.0000, 0.5000, 0.0000)  2 Hf 2.66
Au (0.5000, 0.0000, 0.0000)  2 Hf 2.66
Au (0.0000, 0.0000, 0.5000)  2 Hf 2.66
Ba (0.5000, 0.5000, 0.5000)  12 Au 3.76
Hf (0.0000, 0.0000, 0.0000)  6 Au 2.66

## Properties
- Formation energy: -0.277 eV per atom
- Calculated total energy: -23.10 eV for the cell shown
- Relative energy among the computed polymorphs: 0 meV per atom